DFT (PBE) results for crystalline KBaNiH6 at its relaxed geometry.

Unit cell a=5.326 b=5.326 c=4.848 alpha=90.15 beta=90.15 gamma=60.07
Atoms (fractional coordinates):
1 K 0.000 0.000 0.000
2 Ba 0.334 0.334 0.531
3 Ni 0.667 0.667 0.259
4 H 0.385 0.808 0.443
5 H 0.524 0.524 0.077
6 H 0.524 0.952 0.077
7 H 0.808 0.385 0.443
8 H 0.808 0.808 0.443
9 H 0.952 0.524 0.077

Values from the calculation:
The calculation puts the total energy at -3.463 eV/atom. The space group is Cm (8).